This record from the Alexandria database describes crystalline Li2BeAu5 at its relaxed geometry. The functional is PBE.

It has space group Cm (No. 8), with a = 7.250 Å, b = 8.588 Å, c = 5.571 Å, α = 90.00°, β = 129.55° and γ = 90.00°. The inequivalent atoms are Li at (0.000, 0.230, 0.000), Be at (0.109, 0.500, 0.526), Au at (0.008, 0.241, 0.511), Au at (0.239, 0.500, 0.038), Au at (0.246, 0.000, 0.471) and Au at (0.281, 0.000, 0.997).

The offset from the most stable computed form is 60.3 kJ/mol of formula units. For the formation energy, the calculation gives -278 meV/atom. As for the total magnetization: 0.00 μB per atom. The total energy is -3.271 eV per atom.

This record from the Alexandria database describes crystalline CsMgNpBr6 at its relaxed geometry. The functional is PBE.

It has space group P-31c (No. 163), with a = 7.3555 Å, b = 7.3555 Å, c = 16.1077 Å, α = 90.00°, β = 90.00° and γ = 120.00°. The inequivalent atoms are Cs at (0.0000, 0.0000, 0.0000), Mg at (0.3333, 0.6667, 0.2500), Np at (0.3333, 0.6667, 0.7500) and Br at (0.0192, 0.3855, 0.1509).

The uncorrected formation energy comes out at -1493 meV per atom. As for the total magnetization: 0.44 μB per atom. The total energy is -4.318 eV per atom.

This record from the Alexandria database describes crystalline NdZrPa2P4 at its relaxed geometry. The functional is PBE.

It has space group P2/m (No. 10), with a = 6.808 Å, b = 3.978 Å, c = 6.874 Å, α = 90.00°, β = 109.69° and γ = 90.00°. The inequivalent atoms are Nd at (0.000, 0.000, 0.000), Zr at (0.000, 0.500, 0.500), Pa at (0.500, 0.000, 0.500), Pa at (0.500, 0.500, 0.000), P at (0.247, 0.000, 0.739) and P at (0.255, 0.500, 0.263).

For the formation energy, the calculation gives -1358 meV/atom. As for the total magnetization: 0.00 μB per atom. The total energy is -8.101 eV per atom.

This record from the Alexandria database describes crystalline Mg3MnPd at its relaxed geometry. The functional is PBE.

It has space group Pm-3m (No. 221), with a = 4.941 Å, b = 4.941 Å, c = 4.941 Å, α = 90.00°, β = 90.00° and γ = 90.00°. The inequivalent atoms are Mg at (0.000, 0.000, 0.500), Mn at (0.500, 0.500, 0.500) and Pd at (0.000, 0.000, 0.000).

The offset from the most stable computed form is 0.0 kJ/mol of formula units. For the formation energy, the calculation gives 241 meV/atom. As for the total magnetization: 0.90 μB per atom. The total energy is -3.588 eV per atom.

This record from the Alexandria database describes crystalline SnPd2Pb at its relaxed geometry. The functional is PBE.

It has space group P4/mmm (No. 123), with a = 3.375 Å, b = 3.375 Å, c = 7.158 Å, α = 90.00°, β = 90.00° and γ = 90.00°. The inequivalent atoms are Sn at (0.000, 0.000, 0.000), Pd at (0.500, 0.500, 0.209) and Pb at (0.000, 0.000, 0.500).

The offset from the most stable computed form is 37.1 kJ/mol of formula units. For the formation energy, the calculation gives -297 meV/atom. As for the total magnetization: 0.00 μB per atom. The total energy is -4.821 eV per atom.

This record from the Alexandria database describes crystalline PmIn12Cu4 at its relaxed geometry. The functional is PBE.

It has space group Im-3 (No. 204), with a = 9.435 Å, b = 9.435 Å, c = 9.435 Å, α = 90.00°, β = 90.00° and γ = 90.00°. The inequivalent atoms are Pm at (0.000, 0.000, 0.000), In at (0.000, 0.165, 0.336) and Cu at (0.250, 0.250, 0.250).

For the formation energy, the calculation gives 23 meV/atom. As for the total magnetization: 0.00 μB per atom. The total energy is -3.153 eV per atom.